1.
Entry from Alexandria via LeMat-Bulk: a relaxed MnAlHg2 crystal (PBE).

abc: 9.5056 9.5056 9.5056
angles: 18.84 18.84 18.84
Site moments in Bohr magnetons follow the coordinates.
Positions (direct):
Hg 0.7588 0.7588 0.7588  0.02
Hg 0.9932 0.9932 0.9932  0.03
Mn 0.5062 0.5062 0.5062  3.47
Al 0.2418 0.2418 0.2418  -0.02

Properties
The uncorrected energy is -3.17 eV per atom. As for the density of states at the Fermi level: 2.64 states/eV per cell.

2.
Entry from Alexandria via LeMat-Bulk: a relaxed MnAl4Hg crystal (PBE).

abc: 5.3299 5.3299 5.3299
angles: 60.00 60.00 60.00
Site moments in Bohr magnetons follow the coordinates.
Positions (direct):
Al 0.3746 0.8763 0.3746  -0.04
Al 0.8763 0.3746 0.3746  -0.04
Al 0.3746 0.3746 0.8763  -0.04
Al 0.3746 0.3746 0.3746  -0.04
Mn 0.0000 0.0000 0.0000  3.56
Hg 0.7500 0.7500 0.7500  -0.05

Properties
The uncorrected energy is -3.81 eV per atom. As for the density of states at the Fermi level: 3.79 states/eV per cell.

3.
Entry from Alexandria via LeMat-Bulk: a relaxed MnAlHg2 crystal (PBE).

abc: 3.4082 3.8100 5.9150
angles: 90.00 90.00 90.00
Site moments in Bohr magnetons follow the coordinates.
Positions (direct):
Hg 0.0000 0.0000 0.0031  -0.03
Hg 0.0000 0.0000 0.4969  -0.03
Al 0.5000 0.5000 0.7500  -0.03
Mn 0.5000 0.5000 0.2500  3.76

Properties
The uncorrected energy is -3.11 eV per atom. As for the density of states at the Fermi level: 2.27 states/eV per cell.

4.
Entry from Alexandria via LeMat-Bulk: a relaxed MnAlHg2 crystal (PBE).

abc: 6.3092 6.3092 6.3092
angles: 152.47 136.51 52.25
Site moments in Bohr magnetons follow the coordinates.
Positions (direct):
Mn 0.4932 0.4932 0.0000  3.39
Al 0.3025 0.8025 0.5000  -0.03
Hg 0.9936 0.9936 0.0000  -0.04
Hg 0.7107 0.2107 0.5000  -0.02

Properties
The uncorrected energy is -3.16 eV per atom. As for the density of states at the Fermi level: 1.46 states/eV per cell.

5.
Entry from Alexandria via LeMat-Bulk: a relaxed MnAlHg2 crystal (PBE).

abc: 4.0950 4.2768 4.2768
angles: 90.00 90.00 90.00
Site moments in Bohr magnetons follow the coordinates.
Positions (direct):
Hg 0.0000 0.5000 0.5000  -0.04
Hg 0.0000 0.0000 0.0000  -0.04
Mn 0.5000 0.5000 0.0000  3.64
Al 0.5000 0.0000 0.5000  -0.04

Properties
The uncorrected energy is -3.13 eV per atom. As for the density of states at the Fermi level: 2.62 states/eV per cell.

6.
Entry from Alexandria via LeMat-Bulk: a relaxed MnAlHg2 crystal (PBE).

abc: 4.2417 4.2417 9.9687
angles: 77.72 77.72 90.00
Site moments in Bohr magnetons follow the coordinates.
Positions (direct):
Hg 0.3750 0.3743 0.7500  -0.01
Hg 0.8750 0.8757 0.7500  -0.01
Hg 0.1243 0.6250 0.2500  -0.02
Hg 0.6257 0.1250 0.2500  -0.01
Al 0.5000 0.5000 0.0000  -0.05
Al 0.2500 0.7500 0.5000  -0.05
Mn 0.0000 0.0000 0.0000  3.81
Mn 0.7500 0.2500 0.5000  3.81

Properties
The uncorrected energy is -3.02 eV per atom. As for the density of states at the Fermi level: 5.05 states/eV per cell.